(1)
ZnCd2Ag | GGA-PBEsol | relaxed

Output
- SG = Imm2, No. 44
- ΔH_f (0 K) (eV/atom) = 0.011

Unit cell a=3.3371 b=4.5915 c=5.4067 alpha=115.13 beta=107.98 gamma=90.00
Closest atoms and distances in Å follow each position.
Atoms (fractional coordinates):
1 Cd 0.7628 0.2628 0.5256  2 Zn 2.82, 4 Ag 2.85, 4 Cd 2.99-3.12
2 Zn 0.5094 0.5094 0.0189  2 Ag 2.66, 6 Cd 2.82-2.84
3 Ag 0.2350 0.7350 0.4699  2 Zn 2.66, 6 Cd 2.85-2.90
4 Cd 0.9928 0.9928 0.9856  4 Zn 2.84, 2 Ag 2.90, 4 Cd 2.99-3.12



(2)
Zr4TaPt | GGA-PBEsol | relaxed

Output
- SG = F-43m, No. 216
- ΔH_f (0 K) (eV/atom) = 0.313

Unit cell a=5.5119 b=5.5119 c=5.5119 alpha=60.00 beta=60.00 gamma=60.00
Closest atoms and distances in Å follow each position.
Atoms (fractional coordinates):
1 Zr 0.8765 0.3745 0.3745  6 Zr 2.74-2.77
2 Zr 0.3745 0.3745 0.8765  6 Zr 2.74-2.77
3 Zr 0.3745 0.3745 0.3745  6 Zr 2.74-2.77
4 Zr 0.3745 0.8765 0.3745  6 Zr 2.74-2.77
5 Ta 0.0000 0.0000 0.0000  12 Zr 3.23, 4 Pt 3.38
6 Pt 0.7500 0.7500 0.7500  12 Zr 3.23, 4 Ta 3.38



(3)
FeOsAu2 | GGA-PBEsol | relaxed

Output
- SG = P2/m, No. 10
- ΔH_f (0 K) (eV/atom) = 0.463
- distance to the lowest polymorph of the same formula (kJ/mol of formula units) = 0.0

Unit cell a=2.6973 b=4.8156 c=4.8620 alpha=109.15 beta=90.00 gamma=90.00
Closest atoms and distances in Å follow each position.
Atoms (fractional coordinates):
1 Os 0.0000 0.5000 0.5000  2 Os 2.70, 4 Fe 2.76, 6 Au 2.78-2.80
2 Au 0.0000 0.0000 0.0000  6 Au 2.70-2.76, 4 Fe 2.78, 2 Os 2.80
3 Fe 0.5000 0.0000 0.5000  2 Fe 2.70, 4 Os 2.76, 6 Au 2.78-2.80
4 Au 0.5000 0.5000 0.0000  6 Au 2.70-2.76, 4 Os 2.78, 2 Fe 2.80



(4)
Y2MgAl | GGA-PBEsol | relaxed

Output
- SG = P4/mmm, No. 123
- ΔH_f (0 K) (eV/atom) = -0.284
- distance to the lowest polymorph of the same formula (kJ/mol of formula units) = 8.5

Unit cell a=3.6407 b=3.6407 c=7.3902 alpha=90.00 beta=90.00 gamma=90.00
Closest atoms and distances in Å follow each position.
Atoms (fractional coordinates):
1 Y 0.0000 0.0000 0.7627  4 Al 3.12, 4 Mg 3.22
2 Mg 0.5000 0.5000 0.5000  8 Y 3.22
3 Al 0.5000 0.5000 0.0000  8 Y 3.12
4 Y 0.0000 0.0000 0.2373  4 Al 3.12, 4 Mg 3.22



(5)
ZnCdBr2 | GGA-PBEsol | relaxed

Output
- SG = Fm-3m, No. 225
- distance to the lowest polymorph of the same formula (kJ/mol of formula units) = 150.4

Unit cell a=5.0235 b=5.0235 c=5.0235 alpha=60.00 beta=60.00 gamma=60.00
Closest atoms and distances in Å follow each position.
Atoms (fractional coordinates):
1 Br 0.7500 0.7500 0.7500  4 Zn 3.08, 4 Cd 3.08
2 Br 0.2500 0.2500 0.2500  4 Zn 3.08, 4 Cd 3.08
3 Zn 0.5000 0.5000 0.5000  8 Br 3.08
4 Cd 0.0000 0.0000 0.0000  8 Br 3.08



(6)
CrAsRu2 | GGA-PBEsol | relaxed

Output
- SG = P4/mmm, No. 123
- ΔH_f (0 K) (eV/atom) = 0.069

Unit cell a=2.8339 b=2.8339 c=6.5244 alpha=90.00 beta=90.00 gamma=90.00
Closest atoms and distances in Å follow each position.
Atoms (fractional coordinates):
1 Ru 0.0000 0.0000 0.2480  4 As 2.58, 4 Cr 2.59, 4 Ru 2.83
2 Ru 0.0000 0.0000 0.7520  4 As 2.58, 4 Cr 2.59, 4 Ru 2.83
3 As 0.5000 0.5000 0.0000  8 Ru 2.58, 4 As 2.83
4 Cr 0.5000 0.5000 0.5000  8 Ru 2.59, 4 Cr 2.83



(7)
SbOs2Au | GGA-PBEsol | relaxed

Output
- final energy (eV/atom) = -7.58
- SG = C2/m, No. 12

Unit cell a=2.9892 b=4.6117 c=5.0905 alpha=101.33 beta=90.00 gamma=108.91
Closest atoms and distances in Å follow each position.
Atoms (fractional coordinates):
1 Au 0.5000 0.0000 0.0000  6 Os 2.69-2.76, 4 Sb 2.95, 2 Au 2.99
2 Sb 0.0000 0.0000 0.5000  6 Os 2.71-2.80, 4 Au 2.95, 2 Sb 2.99
3 Os 0.7450 0.4899 0.7546  3 Au 2.69-2.76, 3 Sb 2.71-2.80, 6 Os 2.90-3.01
4 Os 0.2550 0.5101 0.2454  3 Au 2.69-2.76, 3 Sb 2.71-2.80, 6 Os 2.90-3.01



(8)
BaNbSN2 | GGA-PBEsol | relaxed

Output
- final energy (eV/atom) = -5.01
- SG = P4/mmm, No. 123

Unit cell a=4.2708 b=4.2708 c=5.7701 alpha=90.00 beta=90.00 gamma=90.00
Closest atoms and distances in Å follow each position.
Atoms (fractional coordinates):
1 N 0.0000 0.5000 0.0000  2 Ba 2.14
2 S 0.0000 0.0000 0.5000  2 Ba 2.89, 4 Nb 3.02
3 Ba 0.0000 0.0000 0.0000  4 N 2.14
4 N 0.5000 0.0000 0.0000  2 Ba 2.14
5 Nb 0.5000 0.5000 0.5000  4 S 3.02



(9)
KNaLi2S2O8 | GGA-PBEsol | relaxed

Output
- final energy (eV/atom) = -6.01
- SG = P2_12_12_1, No. 19

Unit cell a=4.9256 b=7.7325 c=18.9085 alpha=90.00 beta=90.00 gamma=90.00
Closest atoms and distances in Å follow each position.
Atoms (fractional coordinates):
1 O 0.1316 0.8102 0.6718  1 S 1.49
2 Li 0.4633 0.8974 0.3619  4 O 1.92-1.97
3 O 0.1928 0.4641 0.5749  1 S 1.50
4 O 0.4800 0.9339 0.0195  1 S 1.48
5 O 0.3692 0.8772 0.1688  1 S 1.49
6 K 0.5016 0.4470 0.9278  7 O 2.67-2.91
7 O 0.2713 0.4693 0.7903  1 S 1.48
8 O 0.8936 0.6994 0.0950  1 S 1.49
9 Li 0.9633 0.6026 0.6381  4 O 1.92-1.97
10 O 0.1308 0.1228 0.6688  1 S 1.49
11 O 0.6316 0.6898 0.3282  1 S 1.49
12 O 0.6455 0.5268 0.2197  1 S 1.48
13 O 0.0200 0.0661 0.5195  1 S 1.48
14 Na 0.9830 0.7490 0.2242  6 O 2.39-2.66
15 S 0.9707 0.4686 0.7921  4 O 1.48-1.49
16 O 0.7713 0.0307 0.2097  1 S 1.48
17 S 0.9894 0.0467 0.4419  4 O 1.48-1.50
18 Li 0.5367 0.3974 0.1381  4 O 1.92-1.97
19 S 0.0106 0.5467 0.0581  4 O 1.48-1.50
20 K 0.9984 0.5530 0.4278  7 O 2.67-2.91
21 O 0.8714 0.3868 0.0813  1 S 1.48
22 S 0.0293 0.9686 0.7079  4 O 1.48-1.49
23 Li 0.4917 0.2532 0.4105  4 O 1.91-1.97
24 Li 0.9917 0.2468 0.5895  4 O 1.91-1.97
25 O 0.6064 0.3006 0.5950  1 S 1.49
26 O 0.8545 0.4732 0.7197  1 S 1.48
27 O 0.8072 0.9641 0.9251  1 S 1.50
28 Li 0.0083 0.7468 0.9105  4 O 1.91-1.97
29 O 0.5200 0.4339 0.4805  1 S 1.48
30 S 0.5293 0.5314 0.2921  4 O 1.48-1.49
31 O 0.3714 0.1132 0.9187  1 S 1.48
32 K 0.0016 0.0530 0.0722  7 O 2.67-2.91
33 O 0.3072 0.5359 0.0749  1 S 1.50
34 O 0.1455 0.9732 0.7803  1 S 1.48
35 Li 0.0367 0.1026 0.8619  4 O 1.92-1.97
36 S 0.4707 0.0314 0.2079  4 O 1.48-1.49
37 Na 0.4830 0.7510 0.7758  6 O 2.39-2.66
38 S 0.5106 0.9533 0.9419  4 O 1.48-1.50
39 O 0.9800 0.5661 0.9805  1 S 1.48
40 Na 0.5170 0.2510 0.7242  6 O 2.39-2.66
41 K 0.4984 0.9470 0.5722  7 O 2.67-2.91
42 O 0.3684 0.1898 0.1718  1 S 1.49
43 O 0.1286 0.8868 0.4187  1 S 1.48
44 Na 0.0170 0.2490 0.2758  6 O 2.39-2.66
45 O 0.6928 0.0359 0.4251  1 S 1.50
46 O 0.8692 0.6228 0.8312  1 S 1.49
47 O 0.3936 0.8006 0.9050  1 S 1.49
48 O 0.7287 0.9693 0.7097  1 S 1.48
49 O 0.1064 0.1994 0.4050  1 S 1.49
50 O 0.6308 0.3772 0.3312  1 S 1.49
51 O 0.3545 0.0268 0.2803  1 S 1.48
52 Li 0.5083 0.7532 0.0895  4 O 1.91-1.97
53 O 0.6286 0.6132 0.5813  1 S 1.48
54 S 0.4894 0.4533 0.5581  4 O 1.48-1.50
55 O 0.2287 0.5307 0.2903  1 S 1.48
56 O 0.8684 0.3102 0.8282  1 S 1.49



(10)
TiBe3Ga | GGA-PBEsol | relaxed

Output
- SG = Pm-3m, No. 221
- ΔH_f (0 K) (eV/atom) = 0.721

Unit cell a=4.0396 b=4.0396 c=4.0396 alpha=90.00 beta=90.00 gamma=90.00
Closest atoms and distances in Å follow each position.
Atoms (fractional coordinates):
1 Ga 0.0000 0.0000 0.0000  6 Be 2.02
2 Be 0.5000 0.0000 0.0000  2 Ga 2.02
3 Ti 0.5000 0.5000 0.5000  12 Be 2.86
4 Be 0.0000 0.0000 0.5000  2 Ga 2.02
5 Be 0.0000 0.5000 0.0000  2 Ga 2.02



(11)
Be2HgPt | GGA-PBEsol | relaxed

Output
- SG = I-4m2, No. 119
- ΔH_f (0 K) (eV/atom) = -0.077

Unit cell a=3.5541 b=3.5541 c=4.8292 alpha=111.59 beta=111.59 gamma=90.00
Closest atoms and distances in Å follow each position.
Atoms (fractional coordinates):
1 Be 0.7500 0.2500 0.5000  4 Pt 2.51, 4 Hg 2.72, 4 Be 2.72
2 Be 0.0000 0.0000 0.0000  4 Hg 2.51, 4 Be 2.72, 4 Pt 2.72
3 Hg 0.5000 0.5000 0.0000  8 Be 2.51-2.72, 4 Pt 2.72
4 Pt 0.2500 0.7500 0.5000  8 Be 2.51-2.72, 4 Hg 2.72



(12)
TeMoBr2 | GGA-PBEsol | relaxed

Output
- SG = Pmmm, No. 47
- distance to the lowest polymorph of the same formula (kJ/mol of formula units) = 214.9

Unit cell a=3.2935 b=4.8068 c=5.6806 alpha=90.00 beta=90.00 gamma=90.00
Closest atoms and distances in Å follow each position.
Atoms (fractional coordinates):
1 Br 0.5000 0.0000 0.5000  4 Te 2.91
2 Mo 0.5000 0.5000 0.0000  4 Br 2.91
3 Te 0.0000 0.5000 0.5000  4 Br 2.91
4 Br 0.0000 0.0000 0.0000  4 Mo 2.91



no.,M_tot (Bohr magnetons per cell)
1,0.0
2,0.0
3,3.1
4,0.0
5,0.0
6,0.0
7,0.0
8,1.3
9,0.0
10,0.0
11,0.0
12,3.2